# 1
Here is a relaxed ReNiPt2 crystal from Alexandria. Energies are from PBE.

Properties
- volume (Å³/cell) = 56.9
- space group = No. 139
- electronic total energy (eV/atom) = -7.65
- N(E_F) (states/eV per cell) = 3.15

Cell and atoms, written as extended XYZ:
```
4
Lattice="4.752 0.004 -0.005 1.692 4.441 0.005 -3.219 -2.227 2.695" Properties=species:S:1:pos:R:3 pbc="T T T"
Pt 3.222 2.222 0.000
Re 2.378 0.000 1.345
Ni 0.847 2.218 1.350
Pt 0.000 0.000 0.000
```

# 2
Here is a relaxed Re3NiPt crystal from Alexandria. Energies are from PBE.

Properties
- volume (Å³/cell) = 83.7
- space group = No. 221
- electronic total energy (eV/atom) = -8.24
- N(E_F) (states/eV per cell) = 4.76

Cell and atoms, written as extended XYZ:
```
5
Lattice="4.374 0.000 0.000 0.000 4.374 0.000 0.000 0.000 4.374" Properties=species:S:1:pos:R:3 pbc="T T T"
Pt 2.187 2.187 2.187
Re 0.000 2.187 0.000
Re 0.000 0.000 2.187
Re 2.187 0.000 0.000
Ni 0.000 0.000 0.000
```

# 3
Here is a relaxed ReNiPt2 crystal from Alexandria. Energies are from PBE.

Properties
- volume (Å³/cell) = 57.5
- space group = No. 25
- electronic total energy (eV/atom) = -7.64
- N(E_F) (states/eV per cell) = 4.75

Cell and atoms, written as extended XYZ:
```
4
Lattice="4.409 0.000 0.000 0.000 2.717 -0.007 0.000 0.011 4.799" Properties=species:S:1:pos:R:3 pbc="T T T"
Ni 2.204 1.707 3.735
Pt 2.204 0.343 1.411
Pt 0.000 0.351 4.581
Re 0.000 1.704 2.260
```

# 4
Here is a relaxed Re2Ni2Pt crystal from Alexandria. Energies are from PBE.

Properties
- volume (Å³/cell) = 137.9
- space group = No. 127
- electronic total energy (eV/atom) = -8.31
- N(E_F) (states/eV per cell) = 16.27

Cell and atoms, written as extended XYZ:
```
10
Lattice="-1.963 -6.508 -2.205 -1.434 -1.855 6.751 -2.539 0.868 -0.301" Properties=species:S:1:pos:R:3 pbc="T T T"
Ni -0.804 -1.691 1.907
Pt -1.698 -4.182 2.273
Re -2.183 -2.217 -0.092
Re -2.427 -1.578 3.815
Ni -1.858 -3.738 4.903
Re -3.509 -5.917 0.430
Ni -2.593 -6.673 2.639
Pt 0.000 0.000 0.000
Ni -1.539 -4.626 -0.357
Re -3.754 -5.279 4.337
```

# 5
Here is a relaxed ReNiPt3 crystal from Alexandria. Energies are from PBE.

Properties
- volume (Å³/cell) = 90.7
- space group = No. 221
- electronic total energy (eV/atom) = -5.81
- N(E_F) (states/eV per cell) = 6.07

Cell and atoms, written as extended XYZ:
```
5
Lattice="4.493 0.000 0.000 0.000 4.493 0.000 0.000 0.000 4.493" Properties=species:S:1:pos:R:3 pbc="T T T"
Pt 2.246 0.000 0.000
Re 2.246 2.246 2.246
Ni 0.000 0.000 0.000
Pt 0.000 2.246 0.000
Pt 0.000 0.000 2.246
```

# 6
Here is a relaxed ReNi2Pt8 crystal from Alexandria. Energies are from PBE.

Properties
- volume (Å³/cell) = 190.6
- space group = No. 12
- electronic total energy (eV/atom) = -6.18
- N(E_F) (states/eV per cell) = 15.14

Cell and atoms, written as extended XYZ:
```
11
Lattice="4.819 -0.642 -0.487 -0.837 6.722 0.694 -0.837 2.479 6.287" Properties=species:S:1:pos:R:3 pbc="T T T"
Pt 0.700 3.509 2.663
Ni 1.619 1.649 1.252
Pt 3.925 1.165 0.884
Pt 3.077 2.276 3.407
Pt 3.077 3.894 1.275
Pt 2.445 5.050 3.832
Re 0.000 0.000 0.000
Ni 1.526 6.910 5.243
Pt 0.068 4.665 5.220
Pt 0.068 6.283 3.087
Pt -0.780 7.394 5.611
```

# 7
Here is a relaxed ReNi7Pt2 crystal from Alexandria. Energies are from PBE.

Properties
- volume (Å³/cell) = 142.8
- space group = No. 65
- electronic total energy (eV/atom) = -6.19
- N(E_F) (states/eV per cell) = 17.20

Cell and atoms, written as extended XYZ:
```
10
Lattice="-0.624 0.090 -2.506 -7.663 1.870 1.977 -2.636 7.637 0.931" Properties=species:S:1:pos:R:3 pbc="T T T"
Ni -5.922 2.381 0.229
Ni -1.800 1.662 0.508
Ni -9.124 7.935 -0.106
Pt -3.634 3.111 -0.315
Ni -5.462 4.798 0.201
Re 0.000 0.000 0.000
Pt -7.290 6.485 0.717
Ni -5.002 7.215 0.173
Ni -3.177 5.531 -0.342
Ni -7.747 4.066 0.744
```

# 8
Here is a relaxed ReNiPt2 crystal from Alexandria. Energies are from PBE.

Properties
- volume (Å³/cell) = 126.0
- space group = No. 122
- electronic total energy (eV/atom) = -7.07
- N(E_F) (states/eV per cell) = 9.35

Cell and atoms, written as extended XYZ:
```
8
Lattice="-6.562 -1.069 -1.733 0.756 -6.708 1.277 -3.637 -3.489 2.307" Properties=species:S:1:pos:R:3 pbc="T T T"
Pt -4.887 -2.374 -0.339
Ni -2.903 -3.889 -0.228
Ni -2.892 -7.043 1.678
Pt -1.286 -5.203 1.151
Re -6.551 -4.224 0.173
Pt -4.902 -5.563 1.565
Re 0.000 0.000 0.000
Pt -7.811 -9.392 1.326
```